Record 1
LaTeP2 after structural relaxation, computed with PBE-GGA.

Output
Its volume is 32.25 Å³ per atom. The value obtained for the formation energy (no corrections) is -0.1625 eV per atom. The value obtained for the calculated density is 4.23 g cm⁻³. Its symmetry is I-42d. Its density of states at the Fermi level is 6.97 states/eV per cell.

a b c (Å): 5.809 5.809 15.291
angles (deg): 90.00 90.00 90.00
Fractional coordinates of all 16 atoms:
La  0.000  0.000  0.000
La  0.000  0.500  0.250
La  0.500  0.000  0.750
La  0.500  0.500  0.500
Te  0.000  0.000  0.500
Te  0.000  0.500  0.750
Te  0.500  0.000  0.250
Te  0.500  0.500  0.000
P  0.219  0.250  0.625
P  0.250  0.719  0.875
P  0.250  0.781  0.375
P  0.281  0.250  0.125
P  0.719  0.750  0.125
P  0.750  0.219  0.375
P  0.750  0.281  0.875
P  0.781  0.750  0.625

---

Record 2
Li3SbAu6 after structural relaxation, computed with PBE-GGA.

Output
Its volume is 18.75 Å³ per atom. The value obtained for the formation energy (no corrections) is -0.3039 eV per atom. The value obtained for the calculated density is 11.73 g cm⁻³. Its symmetry is Cmc2_1. Its density of states at the Fermi level is 4.77 states/eV per cell.

a b c (Å): 7.453 7.453 7.612
angles (deg): 90.00 90.00 117.51
Fractional coordinates of all 20 atoms:
Li  0.073  0.927  0.500
Li  0.145  0.350  0.657
Li  0.350  0.145  0.157
Li  0.650  0.855  0.657
Li  0.855  0.650  0.157
Li  0.927  0.073  0.000
Sb  0.307  0.693  0.332
Sb  0.693  0.307  0.832
Au  0.102  0.489  0.995
Au  0.105  0.250  0.318
Au  0.250  0.105  0.818
Au  0.259  0.741  0.699
Au  0.477  0.523  0.895
Au  0.489  0.102  0.495
Au  0.511  0.898  0.995
Au  0.523  0.477  0.395
Au  0.741  0.259  0.199
Au  0.750  0.895  0.318
Au  0.895  0.750  0.818
Au  0.898  0.511  0.495

---

Record 3
PuZn2Ga2Pd2 after structural relaxation, computed with PBE-GGA.

Output
Its volume is 18.38 Å³ per atom. The value obtained for the calculated density is 9.38 g cm⁻³. Its symmetry is R-3m. Its density of states at the Fermi level is 13.10 states/eV per cell. Its total energy is -36.239 eV per cell.

a b c (Å): 8.088 8.088 8.088
angles (deg): 31.56 31.56 31.56
Fractional coordinates of all 7 atoms:
Pu  0.000  0.000  0.000
Zn  0.135  0.135  0.135
Zn  0.865  0.865  0.865
Ga  0.410  0.410  0.410
Ga  0.590  0.590  0.590
Pd  0.247  0.247  0.247
Pd  0.753  0.753  0.753

---

Record 4
TlSiAg2Au after structural relaxation, computed with PBE-GGA.

Output
Its volume is 23.50 Å³ per atom. The value obtained for the formation energy (no corrections) is 0.1456 eV per atom. The value obtained for the calculated density is 9.12 g cm⁻³. Its symmetry is P4/mmm. Its density of states at the Fermi level is 0.72 states/eV per cell.

a b c (Å): 4.950 4.950 4.795
angles (deg): 90.00 90.00 90.00
Fractional coordinates of all 5 atoms:
Tl  0.000  0.000  0.000
Si  0.500  0.500  0.500
Ag  0.000  0.500  0.500
Ag  0.500  0.000  0.500
Au  0.500  0.500  0.000

---

Record 5
RbH3Ru after structural relaxation, computed with PBE-GGA.

Output
Its volume is 15.63 Å³ per atom. The calculation puts the energy relative to the lowest polymorph listed for this composition at 1.813 eV per atom. The value obtained for the calculated density is 4.03 g cm⁻³. Its symmetry is Pm-3m. Its density of states at the Fermi level is 5.21 states/eV per cell.

a b c (Å): 4.275 4.275 4.275
angles (deg): 90.00 90.00 90.00
Fractional coordinates of all 5 atoms:
Rb  0.000  0.000  0.000
H  0.000  0.000  0.500
H  0.000  0.500  0.000
H  0.500  0.000  0.000
Ru  0.500  0.500  0.500

---

Record 6
K2DyInCl6 after structural relaxation, computed with PBE-GGA.

Output
Its volume is 34.48 Å³ per atom. The value obtained for the formation energy (no corrections) is -1.8927 eV per atom. The value obtained for the calculated density is 2.74 g cm⁻³. Its symmetry is R3. Its density of states at the Fermi level is 0.00 states/eV per cell.

a b c (Å): 8.039 8.039 8.039
angles (deg): 57.33 57.33 57.33
Fractional coordinates of all 10 atoms:
K  0.000  0.000  0.000
K  0.489  0.489  0.489
Dy  0.698  0.698  0.698
In  0.209  0.209  0.209
Cl  0.035  0.458  0.809
Cl  0.354  0.897  0.592
Cl  0.458  0.809  0.035
Cl  0.592  0.354  0.897
Cl  0.809  0.035  0.458
Cl  0.897  0.592  0.354

---

Record 7
AcNi4Ge2 after structural relaxation, computed with PBE-GGA.

Output
Its volume is 16.69 Å³ per atom. The calculation puts the energy relative to the lowest polymorph listed for this composition at 0.040 eV per atom. The value obtained for the calculated density is 8.63 g cm⁻³. Its symmetry is Pnma. Its density of states at the Fermi level is 16.98 states/eV per cell.

a b c (Å): 17.626 4.035 6.569
angles (deg): 90.00 90.00 90.00
Fractional coordinates of all 28 atoms:
Ac  0.140  0.250  0.028
Ac  0.360  0.750  0.528
Ac  0.640  0.250  0.472
Ac  0.860  0.750  0.972
Ni  0.013  0.750  0.118
Ni  0.061  0.250  0.535
Ni  0.170  0.750  0.652
Ni  0.229  0.750  0.293
Ni  0.271  0.250  0.793
Ni  0.330  0.250  0.152
Ni  0.439  0.750  0.035
Ni  0.487  0.250  0.618
Ni  0.513  0.750  0.382
Ni  0.561  0.250  0.965
Ni  0.670  0.750  0.848
Ni  0.729  0.750  0.207
Ni  0.771  0.250  0.707
Ni  0.830  0.250  0.348
Ni  0.939  0.750  0.465
Ni  0.987  0.250  0.882
Ge  0.036  0.750  0.733
Ge  0.202  0.250  0.482
Ge  0.298  0.750  0.982
Ge  0.464  0.250  0.233
Ge  0.536  0.750  0.767
Ge  0.702  0.250  0.018
Ge  0.798  0.750  0.518
Ge  0.964  0.250  0.267

---

Record 8
FePt2Au after structural relaxation, computed with PBE-GGA.

Output
Its volume is 15.43 Å³ per atom. The calculation puts the energy relative to the lowest polymorph listed for this composition at 0.080 eV per atom. The value obtained for the calculated density is 17.30 g cm⁻³. Its symmetry is P4mm. Its density of states at the Fermi level is 2.37 states/eV per cell.

a b c (Å): 2.793 2.793 7.909
angles (deg): 90.00 90.00 90.00
Fractional coordinates of all 4 atoms:
Fe  0.000  0.000  0.000
Pt  0.000  0.000  0.484
Pt  0.500  0.500  0.223
Au  0.500  0.500  0.756

---

Copy entry 7 word for word.
AcNi4Ge2 after structural relaxation, computed with PBE-GGA.

Output
Its volume is 16.69 Å³ per atom. The calculation puts the energy relative to the lowest polymorph listed for this composition at 0.040 eV per atom. The value obtained for the calculated density is 8.63 g cm⁻³. Its symmetry is Pnma. Its density of states at the Fermi level is 16.98 states/eV per cell.

a b c (Å): 17.626 4.035 6.569
angles (deg): 90.00 90.00 90.00
Fractional coordinates of all 28 atoms:
Ac  0.140  0.250  0.028
Ac  0.360  0.750  0.528
Ac  0.640  0.250  0.472
Ac  0.860  0.750  0.972
Ni  0.013  0.750  0.118
Ni  0.061  0.250  0.535
Ni  0.170  0.750  0.652
Ni  0.229  0.750  0.293
Ni  0.271  0.250  0.793
Ni  0.330  0.250  0.152
Ni  0.439  0.750  0.035
Ni  0.487  0.250  0.618
Ni  0.513  0.750  0.382
Ni  0.561  0.250  0.965
Ni  0.670  0.750  0.848
Ni  0.729  0.750  0.207
Ni  0.771  0.250  0.707
Ni  0.830  0.250  0.348
Ni  0.939  0.750  0.465
Ni  0.987  0.250  0.882
Ge  0.036  0.750  0.733
Ge  0.202  0.250  0.482
Ge  0.298  0.750  0.982
Ge  0.464  0.250  0.233
Ge  0.536  0.750  0.767
Ge  0.702  0.250  0.018
Ge  0.798  0.750  0.518
Ge  0.964  0.250  0.267